No. 1
# PBE Tc2IrRh, optimized geometry
data_Tc2IrRh
_space_group_name_H-M_alt 'P m m 2'
_space_group_IT_number 25
_cell_length_a 2.727
_cell_length_b 4.370
_cell_length_c 4.805
_cell_angle_alpha 90.00
_cell_angle_beta 90.00
_cell_angle_gamma 90.00
loop_
_space_group_symop_operation_xyz
'x,y,z'
'-x,-y,z'
'-x,y,z'
'x,-y,z'
loop_
_atom_site_label
_atom_site_fract_x
_atom_site_fract_y
_atom_site_fract_z
Tc1 0.000 0.000 0.000
Tc2 0.000 0.500 0.326
Ir1 0.500 0.500 0.828
Rh1 0.500 0.000 0.495
# Magnetic moment, μB/f.u.: 0.00
# Offset from the most stable computed form, meV per atom: 0.0
# Fermi-level density of states, states/eV per cell: 2.7
# Formation energy from the elements, eV per atom: -0.233
# Crystal system: orthorhombic


No. 2
# PBE TcIr2Rh2, optimized geometry
data_TcIr2Rh2
_space_group_name_H-M_alt 'P 4/m b m'
_space_group_IT_number 127
_space_group_name_Hall '-P 4 2ab'
_cell_length_a 6.619
_cell_length_b 6.619
_cell_length_c 3.544
_cell_angle_alpha 90.00
_cell_angle_beta 90.00
_cell_angle_gamma 90.00
loop_
_atom_site_label
_atom_site_fract_x
_atom_site_fract_y
_atom_site_fract_z
Tc1 0.000 0.000 0.000
Ir1 0.132 0.368 0.000
Rh1 0.166 0.666 0.500
# Magnetic moment, μB/f.u.: 0.00
# Offset from the most stable computed form, meV per atom: 458.2
# Fermi-level density of states, states/eV per cell: 13.3
# Formation energy from the elements, eV per atom: 0.360
# Crystal system: tetragonal